No. 1
Material: PrGa2PtAu
Method: DFT, PBE-GGA
State: optimized geometry

Output
**Symmetry**: P4/nmm, No. 129
**Uncorrected energy**: -4.865 eV per atom
**ΔE to the lowest computed polymorph**: 0 meV per atom

Lattice parameters (Å, degrees): 4.3976 4.3976 10.4744 90.00 90.00 90.00
Last column: nearest neighbours and their distance in Å.
Sites, in units of the cell vectors:
Pr  0.2500  0.2500  0.2404  4 Pt 3.34, 8 Ga 3.34-3.35, 4 Au 3.50
Pr  0.7500  0.7500  0.7596  4 Pt 3.34, 8 Ga 3.34-3.35, 4 Au 3.50
Ga  0.2500  0.2500  0.6408  1 Pt 2.45, 4 Au 2.65
Ga  0.2500  0.7500  0.0000  4 Pt 2.56
Ga  0.7500  0.2500  0.0000  4 Pt 2.56
Ga  0.7500  0.7500  0.3592  1 Pt 2.45, 4 Au 2.65
Pt  0.2500  0.2500  0.8751  5 Ga 2.45-2.56
Pt  0.7500  0.7500  0.1249  5 Ga 2.45-2.56
Au  0.2500  0.7500  0.5000  4 Ga 2.65
Au  0.7500  0.2500  0.5000  4 Ga 2.65

---

No. 2
Material: Mg2Pd2O5
Method: DFT, PBE-GGA
State: optimized geometry

Output
**Symmetry**: P4/mmm, No. 123
**Uncorrected energy**: -5.206 eV per atom

Lattice parameters (Å, degrees): 3.5713 3.5713 7.8604 90.00 90.00 90.00
Last column: nearest neighbours and their distance in Å.
Sites, in units of the cell vectors:
Mg  0.0000  0.0000  0.2462  5 O 1.94-1.95
Mg  0.0000  0.0000  0.7538  5 O 1.94-1.95
Pd  0.5000  0.5000  0.0000  4 O 2.53
Pd  0.5000  0.5000  0.5000  8 O 2.16
O  0.0000  0.0000  0.0000  2 Mg 1.94
O  0.0000  0.5000  0.3465  2 Mg 1.95, 2 Pd 2.16
O  0.0000  0.5000  0.6535  2 Mg 1.95, 2 Pd 2.16
O  0.5000  0.0000  0.3465  2 Mg 1.95, 2 Pd 2.16
O  0.5000  0.0000  0.6535  2 Mg 1.95, 2 Pd 2.16